VASP calculation (PBE-GGA) on a relaxed structure of ZnCdS2.

Total DFT energy (no corrections) in hartree per atom: -0.122
Raw formation energy in kJ/mol of atoms: -69

Lattice parameters (Å, degrees): 6.932 8.058 6.566 90.00 90.00 90.00
Space group Pna2_1 (No. 33)
Symmetry-distinct sites (fractional):
Zn 0.078 0.126 0.000 (multiplicity 4)
Cd 0.088 0.624 0.000 (multiplicity 4)
S 0.068 0.112 0.640 (multiplicity 4)
S 0.096 0.638 0.609 (multiplicity 4)